12
Lattice="-1.1352 1.3437 5.3370 1.6255 -6.4471 1.9690 4.7304 4.8557 -0.2164" Properties=species:S:1:pos:R:3 comment="PrBeZnPt3 | Alexandria via LeMat-Bulk | PBE | optimized geometry" dos_ef_per_ev_cell=4.380 final_energy_ev_per_atom=-5.277 volume_a3_per_cell=227.1 magmom_total_mub_per_atom=0.000 spacegroup="No. 63" pbc="T T T"
Pr 2.3701 1.9564 4.4491
Pr 2.8506 -2.2040 2.6405
Be 4.0775 1.6201 1.9386
Be 1.1431 -1.8678 5.1510
Zn 5.8906 -1.3089 3.0617
Zn -0.6699 1.0612 4.0279
Pt 1.9718 1.0001 1.6468
Pt 0.4884 -1.9373 0.5917
Pt 0.5694 -3.8379 4.0458
Pt -0.0792 -1.2654 3.2602
Pt 1.1370 -4.5098 1.3773
Pt 3.2489 -1.2477 5.4428